# 1
Tm6As3SeS2 | PBE-GGA | relaxed

```
Tm6As3SeS2
1.0
8.6868 -1.9974 0.0000
8.6868 1.9974 0.0000
-1.7892 0.0000 7.7540
Tm As Se S
6 3 1 2
direct
0.0015 0.0015 0.2587 Tm
0.3295 0.3295 0.9135 Tm
0.3322 0.3322 0.4176 Tm
0.6678 0.6678 0.5824 Tm
0.6705 0.6705 0.0865 Tm
0.9985 0.9985 0.7413 Tm
0.1650 0.1650 0.8325 As
0.5000 0.5000 0.5000 As
0.8350 0.8350 0.1675 As
0.5000 0.5000 0.0000 Se
0.1672 0.1672 0.3336 S
0.8328 0.8328 0.6664 S
```

Values from the calculation:
* spin magnetization: 0.00 μB per cell
* final energy: -73.0 eV/cell

# 2
Sm3ScZn8 | PBE-GGA | relaxed

```
Sm3ScZn8
1.0
2.7373 1.5804 8.9103
-2.7373 1.5804 8.9103
0.0000 -3.1607 8.9103
Sm Sc Zn
3 1 8
direct
0.0000 0.0000 0.0000 Sm
0.1250 0.1250 0.1250 Sm
0.6231 0.6231 0.6231 Sm
0.4992 0.4992 0.4992 Sc
0.0609 0.0609 0.5591 Zn
0.0609 0.5591 0.0609 Zn
0.0669 0.5619 0.5619 Zn
0.3120 0.3120 0.3120 Zn
0.5591 0.0609 0.0609 Zn
0.5619 0.0669 0.5619 Zn
0.5619 0.5619 0.0669 Zn
0.8120 0.8120 0.8120 Zn
```

Values from the calculation:
* spin magnetization: 0.00 μB per cell
* formation energy: -0.318 eV per atom
* final energy: -34.5 eV/cell

# 3
NpUPdRu | PBE-GGA | relaxed

```
NpUPdRu
1.0
6.5327 0.0000 0.0000
0.0000 6.5327 0.0000
0.0000 0.0000 6.5327
Np U Pd Ru
4 4 4 4
direct
0.0000 0.0000 0.0000 Np
0.0000 0.5000 0.5000 Np
0.5000 0.0000 0.5000 Np
0.5000 0.5000 0.0000 Np
0.2500 0.2500 0.2500 U
0.2500 0.7500 0.7500 U
0.7500 0.2500 0.7500 U
0.7500 0.7500 0.2500 U
0.2500 0.2500 0.7500 Pd
0.2500 0.7500 0.2500 Pd
0.7500 0.2500 0.2500 Pd
0.7500 0.7500 0.7500 Pd
0.0000 0.0000 0.5000 Ru
0.0000 0.5000 0.0000 Ru
0.5000 0.0000 0.0000 Ru
0.5000 0.5000 0.5000 Ru
```

Values from the calculation:
* spin magnetization: 13.08 μB per cell
* formation energy: -0.310 eV per atom
* final energy: -159.8 eV/cell

# 4
KAcSn | PBE-GGA | relaxed

```
KAcSn
1.0
17.4941 0.0000 0.0000
0.0000 4.3813 0.0000
-2.1634 0.0000 6.9693
K Ac Sn
4 4 4
direct
0.1476 0.0000 0.3373 K
0.3524 0.5000 0.6627 K
0.6476 0.5000 0.3373 K
0.8524 0.0000 0.6627 K
0.0775 0.5000 0.8062 Ac
0.4225 0.0000 0.1938 Ac
0.5775 0.0000 0.8062 Ac
0.9225 0.5000 0.1938 Ac
0.2344 0.0000 0.8580 Sn
0.2656 0.5000 0.1420 Sn
0.7344 0.5000 0.8580 Sn
0.7656 0.0000 0.1420 Sn
```

Values from the calculation:
* spin magnetization: 0.00 μB per cell
* energy relative to the lowest polymorph listed for this composition: 137.4 meV/atom
* formation energy: -0.089 eV per atom
* final energy: -37.9 eV/cell

# 5
MgS2Br | PBE-GGA | relaxed

```
MgS2Br
1.0
6.8055 0.0000 0.0000
0.0000 6.8055 0.0000
0.0000 0.0000 6.8055
Mg S Br
4 8 4
direct
0.0000 0.0000 0.0000 Mg
0.0000 0.5000 0.5000 Mg
0.5000 0.0000 0.5000 Mg
0.5000 0.5000 0.0000 Mg
0.2500 0.2500 0.2500 S
0.2500 0.2500 0.7500 S
0.2500 0.7500 0.2500 S
0.2500 0.7500 0.7500 S
0.7500 0.2500 0.2500 S
0.7500 0.2500 0.7500 S
0.7500 0.7500 0.2500 S
0.7500 0.7500 0.7500 S
0.0000 0.0000 0.5000 Br
0.0000 0.5000 0.0000 Br
0.5000 0.0000 0.0000 Br
0.5000 0.5000 0.5000 Br
```

Values from the calculation:
* spin magnetization: 0.00 μB per cell
* energy relative to the lowest polymorph listed for this composition: 889.9 meV/atom
* final energy: -41.2 eV/cell

# 6
TiBe5Ni | PBE-GGA | relaxed

```
TiBe5Ni
1.0
7.0610 0.0000 0.0000
0.0000 4.1861 0.0000
0.0000 0.0000 8.8615
Ti Be Ni
4 20 4
direct
0.2377 0.2500 0.0668 Ti
0.2623 0.7500 0.5668 Ti
0.7377 0.2500 0.4332 Ti
0.7623 0.7500 0.9332 Ti
0.0403 0.7500 0.0996 Be
0.0599 0.0072 0.3099 Be
0.0599 0.4928 0.3099 Be
0.0840 0.2500 0.5154 Be
0.1958 0.2500 0.7481 Be
0.3042 0.7500 0.2481 Be
0.4160 0.7500 0.0154 Be
0.4401 0.5072 0.8099 Be
0.4401 0.9928 0.8099 Be
0.4597 0.2500 0.5996 Be
0.5403 0.7500 0.4004 Be
0.5599 0.0072 0.1901 Be
0.5599 0.4928 0.1901 Be
0.5840 0.2500 0.9846 Be
0.6958 0.2500 0.7519 Be
0.8042 0.7500 0.2519 Be
0.9160 0.7500 0.4846 Be
0.9401 0.5072 0.6901 Be
0.9401 0.9928 0.6901 Be
0.9597 0.2500 0.9004 Be
0.1449 0.7500 0.8618 Ni
0.3551 0.2500 0.3618 Ni
0.6449 0.7500 0.6382 Ni
0.8551 0.2500 0.1382 Ni
```

Values from the calculation:
* spin magnetization: 0.00 μB per cell
* formation energy: -0.308 eV per atom
* final energy: -137.8 eV/cell

# 7
Ac2AgTe3 | PBE-GGA | relaxed

```
Ac2AgTe3
1.0
4.3520 0.0000 0.0000
0.0000 5.2560 0.0000
0.0000 0.0000 18.3707
Ac Ag Te
4 2 6
direct
0.0000 0.0000 0.1407 Ac
0.0000 0.0000 0.8593 Ac
0.5000 0.5000 0.3593 Ac
0.5000 0.5000 0.6407 Ac
0.0000 0.0000 0.5000 Ag
0.5000 0.5000 0.0000 Ag
0.0000 0.0000 0.3243 Te
0.0000 0.0000 0.6757 Te
0.0000 0.5000 0.5000 Te
0.5000 0.0000 0.0000 Te
0.5000 0.5000 0.1757 Te
0.5000 0.5000 0.8243 Te
```

Values from the calculation:
* spin magnetization: 0.00 μB per cell
* energy relative to the lowest polymorph listed for this composition: 29.5 meV/atom
* final energy: -54.8 eV/cell